# SrMnPO2

A PBEsol-optimized structure of SrMnPO2 (SCAN, the Alexandria database).

Cell and atoms, written as CIF:
```
data_SrMnPO2
_chemical_formula_sum 'Sr1 Mn1 P1 O2'
_space_group_name_H-M_alt 'P 4/m m m'
_space_group_IT_number 123
_space_group_name_Hall '-P 4 2'
_cell_length_a 4.1242
_cell_length_b 4.1242
_cell_length_c 6.0717
_cell_angle_alpha 90.00
_cell_angle_beta 90.00
_cell_angle_gamma 90.00
loop_
_atom_site_label
_atom_site_type_symbol
_atom_site_fract_x
_atom_site_fract_y
_atom_site_fract_z
Sr1 Sr 0.0000 0.0000 0.0000
Mn1 Mn 0.5000 0.5000 0.5000
P1 P 0.0000 0.0000 0.5000
O1 O 0.0000 0.5000 0.0000
```

D(E_F) in states/eV/atom: 0.421
Total magnetic moment in μB/f.u.: 3.89
Energy relative to the elements, uncorrected in eV/f.u.: 0.31